# 1
Below is a relaxed structure of Hf4ZnCd, with properties calculated at the PBE level.

The structure belongs to space group P4/mmm (No. 123); the cell edges are 3.226, 3.226 and 12.039 Å and the angles 90.00°, 90.00° and 90.00°. The distinct sites, in fractional coordinates, are Hf at (0.000, 0.000, 0.148), Hf at (0.500, 0.500, 0.320), Zn at (0.500, 0.500, 0.000) and Cd at (0.000, 0.000, 0.500).

The value obtained for the energy of formation from the pure elements is -0.127 eV/atom. For the total magnetization, the calculation gives 0.00 Bohr magnetons per cell. Its density of states at the Fermi level is 0.6913 states/eV/atom.


# 2
Below is a relaxed structure of HfZnCd, with properties calculated at the PBE level.

The structure belongs to space group Immm (No. 71); the cell edges are 4.593, 6.193 and 8.062 Å and the angles 90.00°, 90.00° and 90.00°. The distinct sites, in fractional coordinates, are Hf at (0.000, 0.247, 0.000), Zn at (0.000, 0.500, 0.342) and Cd at (0.000, 0.000, 0.327).

The value obtained for the energy of formation from the pure elements is -0.044 eV/atom. For the total magnetization, the calculation gives 0.00 Bohr magnetons per cell. Its density of states at the Fermi level is 0.8390 states/eV/atom.


# 3
Below is a relaxed structure of HfZn4Cd, with properties calculated at the PBE level.

The structure belongs to space group F-43m (No. 216); the cell edges are 7.402, 7.402 and 7.402 Å and the angles 90.00°, 90.00° and 90.00°. The distinct sites, in fractional coordinates, are Hf at (0.000, 0.000, 0.000), Zn at (0.126, 0.126, 0.626) and Cd at (0.250, 0.250, 0.250).

The value obtained for the energy of formation from the pure elements is 0.031 eV/atom. For the total magnetization, the calculation gives 0.00 Bohr magnetons per cell. Its density of states at the Fermi level is 0.3244 states/eV/atom. The calculation puts the energy above the most stable polymorph in this dataset at 62 meV/atom.


# 4
Below is a relaxed structure of Hf2Zn2Cd, with properties calculated at the PBE level.

The structure belongs to space group Cmmm (No. 65); the cell edges are 4.259, 13.790 and 3.171 Å and the angles 90.00°, 90.00° and 90.00°. The distinct sites, in fractional coordinates, are Hf at (0.000, 0.122, 0.000), Zn at (0.000, 0.298, 0.500) and Cd at (0.000, 0.500, 0.500).

The value obtained for the energy of formation from the pure elements is -0.129 eV/atom. For the total magnetization, the calculation gives 0.00 Bohr magnetons per cell. Its density of states at the Fermi level is 0.6792 states/eV/atom.


# 5
Below is a relaxed structure of HfZn2Cd2, with properties calculated at the PBE level.

The structure belongs to space group P4/mbm (No. 127); the cell edges are 7.847, 7.847 and 3.079 Å and the angles 90.00°, 90.00° and 90.00°. The distinct sites, in fractional coordinates, are Hf at (0.000, 0.000, 0.000), Zn at (0.121, 0.379, 0.000) and Cd at (0.178, 0.678, 0.500).

The value obtained for the energy of formation from the pure elements is 0.091 eV/atom. For the total magnetization, the calculation gives 0.00 Bohr magnetons per cell. Its density of states at the Fermi level is 0.5773 states/eV/atom. The calculation puts the energy above the most stable polymorph in this dataset at 0 meV/atom.


# 6
Below is a relaxed structure of HfZrZnCd, with properties calculated at the PBE level.

The structure belongs to space group P4mm (No. 99); the cell edges are 3.144, 3.144 and 8.052 Å and the angles 90.00°, 90.00° and 90.00°. The distinct sites, in fractional coordinates, are Hf at (0.000, 0.000, 0.000), Zr at (0.000, 0.000, 0.461), Zn at (0.500, 0.500, 0.227) and Cd at (0.500, 0.500, 0.733).

The value obtained for the energy of formation from the pure elements is -0.128 eV/atom. For the total magnetization, the calculation gives 0.00 Bohr magnetons per cell. Its density of states at the Fermi level is 0.8905 states/eV/atom.